#one
DFT (GGA-PBE) results for a geometry-optimized Nd4Dy2Y3 structure.

Cell lengths 6.242, 6.243, 10.838 Å; angles 106.51, 106.51, 48.47 degrees
Fractional positions:
Dy (0.668, 0.668, 0.224)
Dy (0.332, 0.332, 0.776)
Nd (0.000, 0.000, 0.332)
Nd (0.333, 0.333, 0.111)
Nd (0.667, 0.667, 0.889)
Nd (0.000, 0.000, 0.668)
Y (0.000, 0.000, 0.000)
Y (0.334, 0.334, 0.446)
Y (0.666, 0.666, 0.554)

Output
The space group is C2/m (12). As for the density: 6.5 g/cm³. As for the total magnetization: 0.00 μB per formula unit.

---

#two
DFT (GGA-PBE) results for a geometry-optimized Nd4Dy2Y3 structure.

Cell lengths 7.139, 9.854, 9.854 Å; angles 60.01, 90.00, 90.00 degrees
Fractional positions:
Nd (0.500, 0.179, 0.849)
Nd (0.000, 0.151, 0.821)
Nd (0.500, 0.477, 0.177)
Nd (0.500, 0.821, 0.151)
Nd (0.000, 0.823, 0.523)
Nd (0.000, 0.849, 0.179)
Nd (0.000, 0.177, 0.477)
Nd (0.500, 0.523, 0.823)
Y (0.750, 0.170, 0.170)
Y (0.250, 0.170, 0.170)
Y (0.250, 0.830, 0.830)
Y (0.250, 0.500, 0.500)
Y (0.750, 0.500, 0.500)
Y (0.750, 0.830, 0.830)
Dy (0.500, 0.153, 0.525)
Dy (0.000, 0.475, 0.847)
Dy (0.000, 0.525, 0.153)
Dy (0.500, 0.847, 0.475)

Output
The space group is Cccm (66). As for the density: 6.5 g/cm³. As for the total magnetization: 0.00 μB per formula unit.

---

Least stable: #two

---

#one
DFT (GGA-PBE) results for a geometry-optimized Nd3Dy2Y7 structure.

Cell lengths 3.591, 5.876, 18.909 Å; angles 93.14, 90.00, 90.00 degrees
Fractional positions:
Y (0.000, 0.000, 0.000)
Y (0.000, 0.690, 0.144)
Y (0.000, 0.310, 0.856)
Y (0.500, 0.257, 0.538)
Y (0.500, 0.807, 0.823)
Y (0.500, 0.743, 0.462)
Y (0.500, 0.193, 0.177)
Nd (0.500, 0.500, 0.000)
Nd (0.000, 0.222, 0.366)
Nd (0.000, 0.778, 0.634)
Dy (0.500, 0.711, 0.293)
Dy (0.500, 0.289, 0.707)

Output
The space group is P2/m (10). As for the density: 5.8 g/cm³. As for the total magnetization: 0.00 μB per formula unit.

---

#two
DFT (GGA-PBE) results for a geometry-optimized Nd3Dy2Y7 structure.

Cell lengths 3.569, 6.411, 17.433 Å; angles 90.00, 90.00, 90.00 degrees
Fractional positions:
Y (0.000, 0.327, 0.834)
Y (0.500, 0.247, 0.499)
Y (0.500, 0.174, 0.167)
Y (0.500, 0.826, 0.833)
Y (0.000, 0.673, 0.166)
Y (0.000, 0.000, 0.000)
Y (0.500, 0.753, 0.501)
Nd (0.000, 0.999, 0.340)
Nd (0.000, 0.001, 0.660)
Nd (0.500, 0.500, 0.000)
Dy (0.500, 0.495, 0.674)
Dy (0.500, 0.505, 0.326)

Output
The space group is P2/m (10). As for the density: 5.7 g/cm³. As for the total magnetization: 0.00 μB per formula unit.

---

Least stable: #one

---

#one
DFT (GGA-PBE) results for a geometry-optimized Nd3DyY4 structure.

Cell lengths 3.492, 11.751, 8.985 Å; angles 130.84, 101.21, 90.00 degrees
Fractional positions:
Y (0.366, 0.112, 0.732)
Y (0.634, 0.888, 0.268)
Y (0.366, 0.620, 0.732)
Y (0.634, 0.380, 0.268)
Dy (0.500, 0.000, 0.000)
Nd (0.757, 0.757, 0.514)
Nd (0.000, 0.500, 0.000)
Nd (0.243, 0.243, 0.486)

Output
The space group is Immm (71). As for the density: 5.9 g/cm³. As for the total magnetization: 0.00 μB per formula unit.

---

#two
DFT (GGA-PBE) results for a geometry-optimized Nd3DyY4 structure.

Cell lengths 6.350, 7.359, 11.530 Å; angles 90.00, 90.00, 90.00 degrees
Fractional positions:
Dy (0.648, 0.628, 0.500)
Dy (0.148, 0.372, 0.000)
Y (0.646, 0.124, 0.500)
Y (0.983, 0.123, 0.249)
Y (0.483, 0.877, 0.749)
Y (0.983, 0.123, 0.751)
Y (0.483, 0.877, 0.251)
Y (0.647, 0.124, 0.000)
Y (0.147, 0.876, 0.500)
Y (0.146, 0.876, 0.000)
Nd (0.480, 0.375, 0.750)
Nd (0.480, 0.375, 0.250)
Nd (0.649, 0.626, 0.000)
Nd (0.149, 0.374, 0.500)
Nd (0.980, 0.625, 0.750)
Nd (0.980, 0.625, 0.250)

Output
The space group is Pmn2_1 (31). As for the density: 5.9 g/cm³. As for the total magnetization: 0.00 μB per formula unit.

---

Least stable: #one